[1]
This record from Alexandria via LeMat-Bulk describes a relaxed structure of Dy4YTh5. The functional is PBE.

The structure in POSCAR format:
```
Dy4YTh5
1.0
3.501 0.000 -0.763
-0.138 7.056 -0.632
0.951 -0.657 12.781
Y Th Dy
1 5 4
direct
0.500 0.000 0.000
0.500 0.500 0.000
0.300 0.399 0.601
0.100 0.794 0.201
0.900 0.206 0.799
0.700 0.601 0.399
0.299 0.897 0.598
0.701 0.103 0.402
0.900 0.694 0.799
0.100 0.306 0.201
```

total energy: -6.17 eV/atom

[2]
This record from Alexandria via LeMat-Bulk describes a relaxed structure of Dy6Y3Th. The functional is PBE.

The structure in POSCAR format:
```
Dy6Y3Th
1.0
8.683 0.000 4.608
3.119 8.104 4.608
2.180 1.497 6.378
Y Dy Th
3 6 1
direct
0.400 0.400 0.801
0.642 0.642 0.074
0.157 0.157 0.528
0.735 0.065 0.799
0.065 0.400 0.799
0.400 0.735 0.799
0.900 0.571 0.300
0.571 0.229 0.300
0.229 0.900 0.300
0.900 0.900 0.300
```

total energy: -5.14 eV/atom
energy relative to the lowest polymorph listed for this composition: 2.26 eV per formula unit

[3]
This record from Alexandria via LeMat-Bulk describes a relaxed structure of Dy2Y4Th5. The functional is PBE.

The structure in POSCAR format:
```
Dy2Y4Th5
1.0
3.480 0.000 0.000
0.000 8.815 -0.177
0.000 1.119 11.631
Th Dy Y
5 2 4
direct
0.000 0.796 0.175
0.000 0.575 0.712
0.000 0.204 0.825
0.000 0.425 0.288
0.000 0.500 0.000
0.000 0.056 0.364
0.000 0.944 0.636
0.500 0.159 0.099
0.500 0.295 0.553
0.500 0.705 0.447
0.500 0.841 0.901
```

total energy: -6.43 eV/atom

[4]
This record from Alexandria via LeMat-Bulk describes a relaxed structure of Dy3Y4Th. The functional is PBE.

The structure in POSCAR format:
```
Dy3Y4Th
1.0
-1.826 2.924 0.255
-4.641 -2.534 -4.183
-2.326 -4.433 10.732
Dy Y Th
3 4 1
direct
0.123 0.883 0.246
0.877 0.117 0.754
0.000 0.500 0.000
0.876 0.635 0.752
0.124 0.365 0.248
0.259 0.761 0.517
0.741 0.239 0.483
0.500 0.000 0.000
```

total energy: -5.72 eV/atom
energy relative to the lowest polymorph listed for this composition: 0.00 eV per formula unit

[5]
This record from Alexandria via LeMat-Bulk describes a relaxed structure of Dy3Y6Th. The functional is PBE.

The structure in POSCAR format:
```
Dy3Y6Th
1.0
-2.074 -0.839 -5.867
-3.204 -10.155 2.584
-7.040 8.294 1.303
Y Dy Th
12 6 2
direct
0.369 0.537 0.955
0.397 0.953 0.047
0.039 0.708 0.619
0.539 0.292 0.381
0.869 0.463 0.045
0.539 0.619 0.708
0.039 0.381 0.292
0.648 0.274 0.726
0.148 0.726 0.274
0.869 0.955 0.537
0.897 0.047 0.953
0.369 0.045 0.463
0.569 0.612 0.388
0.069 0.388 0.612
0.954 0.062 0.284
0.454 0.938 0.716
0.954 0.716 0.938
0.454 0.284 0.062
0.648 0.795 0.205
0.148 0.205 0.795
```

total energy: -5.84 eV/atom
energy relative to the lowest polymorph listed for this composition: 0.00 eV per formula unit

[6]
This record from Alexandria via LeMat-Bulk describes a relaxed structure of Dy6Y3Th2. The functional is PBE.

The structure in POSCAR format:
```
Dy6Y3Th2
1.0
-0.441 3.336 1.185
0.260 0.703 3.488
31.106 6.673 -1.842
Dy Th Y
6 2 3
direct
0.908 0.908 0.275
0.092 0.092 0.725
0.182 0.182 0.453
0.818 0.818 0.547
0.636 0.636 0.091
0.364 0.364 0.909
0.545 0.545 0.364
0.455 0.455 0.636
0.273 0.273 0.182
0.727 0.727 0.818
0.000 0.000 0.000
```

total energy: -5.60 eV/atom

[7]
This record from Alexandria via LeMat-Bulk describes a relaxed structure of Dy12Y3Th. The functional is PBE.

The structure in POSCAR format:
```
Dy12Y3Th
1.0
-4.317 2.217 1.311
0.879 -1.138 4.817
9.661 17.418 2.353
Y Dy Th
3 12 1
direct
0.000 0.000 0.750
0.000 0.000 0.250
0.000 0.000 0.500
0.000 0.500 0.877
0.500 0.000 0.625
0.000 0.500 0.375
0.500 0.500 0.500
0.500 0.000 0.877
0.500 0.000 0.375
0.500 0.500 0.251
0.500 0.500 0.749
0.500 0.500 0.000
0.000 0.500 0.625
0.500 0.000 0.123
0.000 0.500 0.123
0.000 0.000 0.000
```

total energy: -5.10 eV/atom

[8]
This record from Alexandria via LeMat-Bulk describes a relaxed structure of Dy3Y8Th3. The functional is PBE.

The structure in POSCAR format:
```
Dy3Y8Th3
1.0
5.568 -0.001 1.118
2.750 9.225 0.722
1.079 -3.209 9.040
Th Y Dy
3 8 3
direct
0.000 0.816 0.184
0.500 0.000 0.000
0.000 0.184 0.816
0.160 0.237 0.442
0.658 0.119 0.564
0.658 0.564 0.119
0.342 0.436 0.881
0.840 0.763 0.558
0.160 0.442 0.237
0.342 0.881 0.436
0.840 0.558 0.763
0.808 0.192 0.192
0.192 0.808 0.808
0.500 0.500 0.500
```

total energy: -6.11 eV/atom

[9]
This record from Alexandria via LeMat-Bulk describes a relaxed structure of DyYTh. The functional is PBE.

The structure in POSCAR format:
```
DyYTh
1.0
-4.473 2.675 -4.847
-1.910 -5.692 3.830
1.018 2.579 10.910
Y Th Dy
4 4 4
direct
0.252 0.585 0.837
0.248 0.915 0.163
0.748 0.415 0.163
0.752 0.085 0.837
0.250 0.418 0.167
0.750 0.918 0.167
0.750 0.582 0.833
0.250 0.082 0.833
0.750 0.250 0.500
0.250 0.250 0.500
0.750 0.750 0.500
0.250 0.750 0.500
```

total energy: -6.13 eV/atom
energy relative to the lowest polymorph listed for this composition: 0.05 eV per formula unit

[10]
This record from Alexandria via LeMat-Bulk describes a relaxed structure of Dy7Y2Th2. The functional is PBE.

The structure in POSCAR format:
```
Dy7Y2Th2
1.0
-8.149 -2.190 -1.757
3.939 -4.507 0.150
0.499 -4.305 7.450
Y Dy Th
2 7 2
direct
0.767 0.124 0.233
0.233 0.876 0.767
0.942 0.182 0.594
0.412 0.628 0.588
0.588 0.372 0.412
0.594 0.818 0.942
0.000 0.000 0.000
0.058 0.818 0.406
0.406 0.182 0.058
0.214 0.500 0.214
0.786 0.500 0.786
```

total energy: -5.26 eV/atom
energy relative to the lowest polymorph listed for this composition: 0.10 eV per formula unit

[11]
This record from Alexandria via LeMat-Bulk describes a relaxed structure of Dy2Y2Th. The functional is PBE.

The structure in POSCAR format:
```
Dy2Y2Th
1.0
-5.143 1.755 -0.476
-1.699 -3.385 5.876
4.491 5.964 4.734
Th Dy Y
2 4 4
direct
0.391 0.076 0.782
0.609 0.576 0.218
0.608 0.077 0.215
0.392 0.577 0.785
0.800 0.827 0.601
0.200 0.327 0.399
0.200 0.826 0.399
0.800 0.326 0.601
0.999 0.827 0.998
0.001 0.327 0.002
```

total energy: -5.85 eV/atom
energy relative to the lowest polymorph listed for this composition: 0.00 eV per formula unit

[12]
This record from Alexandria via LeMat-Bulk describes a relaxed structure of Dy5Y2Th6. The functional is PBE.

The structure in POSCAR format:
```
Dy5Y2Th6
1.0
-0.058 -3.477 -0.572
6.785 -1.676 9.505
-16.733 -1.636 11.655
Dy Th Y
10 12 4
direct
0.500 0.500 0.000
0.500 0.794 0.062
0.500 0.000 0.500
0.500 0.294 0.438
0.500 0.414 0.720
0.500 0.086 0.220
0.500 0.586 0.280
0.500 0.706 0.562
0.500 0.914 0.780
0.500 0.206 0.938
0.500 0.803 0.381
0.000 0.435 0.572
0.500 0.697 0.881
0.500 0.197 0.619
0.000 0.565 0.428
0.000 0.935 0.928
0.000 0.559 0.140
0.000 0.059 0.360
0.500 0.303 0.119
0.000 0.065 0.072
0.000 0.441 0.860
0.000 0.941 0.640
0.000 0.172 0.776
0.000 0.828 0.224
0.000 0.328 0.276
0.000 0.672 0.724
```

total energy: -6.04 eV/atom

no.,calculated formation energy (eV/atom),V (Å³/atom)
1,0.0311,31.94
2,0.3044,32.90
3,0.1288,32.50
4,0.1697,32.67
5,0.1619,32.95
6,0.0209,31.87
7,0.0252,31.68
8,0.1627,32.59
9,0.0362,31.99
10,0.1881,32.57
11,0.0637,32.07
12,0.1454,32.71